{
  "formula": "NdDyMgRh",
  "functional": "PBE",
  "state": "relaxed",
  "energy_ev_per_cell": -19.71,
  "total_magnetization_mub_per_cell": 0.00,
  "volume_a3_per_atom": 23.972,
  "delta_e_f_ev_per_atom": -0.349,
  "lattice": [[5.138, 0.000, 0.000], [2.569, 4.449, 0.000], [2.569, 1.483, 4.195]],
  "species": ["Mg", "Rh", "Nd", "Dy"],
  "frac_coords": [[0.000, 0.000, 0.000], [0.500, 0.500, 0.500], [0.750, 0.750, 0.750], [0.250, 0.250, 0.250]]
}

***

{
  "formula": "TiRePd",
  "functional": "PBE",
  "state": "relaxed",
  "energy_ev_per_cell": -52.63,
  "total_magnetization_mub_per_cell": 0.00,
  "volume_a3_per_atom": 15.225,
  "delta_e_f_ev_per_atom": -0.259,
  "lattice": [[6.449, 0.418, -1.958], [1.283, 2.047, -1.288], [-16.879, -4.506, 13.896]],
  "species": ["Re", "Re", "Pd", "Pd", "Ti", "Ti"],
  "frac_coords": [[0.736, 0.990, 0.661], [0.264, 0.010, 0.339], [0.246, 0.949, 0.998], [0.754, 0.051, 0.002], [0.249, 0.982, 0.667], [0.751, 0.018, 0.333]]
}

***

{
  "formula": "Sm2Si3Ni12Ir",
  "functional": "PBE",
  "state": "relaxed",
  "energy_ev_per_cell": -104.21,
  "raw_formation_energy_ev_per_atom": -0.0148,
  "total_magnetization_mub_per_cell": 0.00,
  "volume_a3_per_atom": 13.782,
  "lattice": [[-3.920, 4.106, 2.740], [-1.806, -3.968, 4.553], [4.243, 2.051, 4.187]],
  "species": ["Ni", "Ni", "Ni", "Ni", "Ni", "Ni", "Ni", "Ni", "Ni", "Ni", "Ni", "Ni", "Ir", "Si", "Si", "Si", "Sm", "Sm"],
  "frac_coords": [[0.702, 0.191, 0.191], [0.191, 0.702, 0.191], [0.191, 0.191, 0.702], [0.391, 0.391, 0.892], [0.609, 0.609, 0.108], [0.298, 0.809, 0.809], [0.108, 0.609, 0.609], [0.809, 0.298, 0.809], [0.809, 0.809, 0.298], [0.391, 0.892, 0.391], [0.892, 0.391, 0.391], [0.609, 0.108, 0.609], [0.000, 0.000, 0.000], [0.000, 0.000, 0.500], [0.500, 0.000, 0.000], [0.000, 0.500, 0.000], [0.322, 0.322, 0.322], [0.678, 0.678, 0.678]]
}

***

{
  "formula": "LiZr2HIr",
  "functional": "PBE",
  "state": "relaxed",
  "energy_ev_per_cell": -33.49,
  "total_magnetization_mub_per_cell": 0.00,
  "volume_a3_per_atom": 14.573,
  "lattice": [[4.524, 0.000, 0.000], [0.000, 4.524, 0.000], [0.000, 0.000, 3.560]],
  "species": ["Zr", "Zr", "Ir", "H", "Li"],
  "frac_coords": [[0.000, 0.500, 0.000], [0.500, 0.000, 0.000], [0.500, 0.500, 0.500], [0.000, 0.000, 0.000], [0.000, 0.000, 0.500]]
}

***

{
  "formula": "LiMgVOs",
  "functional": "PBE",
  "state": "relaxed",
  "energy_ev_per_cell": -23.54,
  "total_magnetization_mub_per_cell": 0.91,
  "volume_a3_per_atom": 14.402,
  "delta_e_f_ev_per_atom": 0.080,
  "lattice": [[4.335, 0.000, 0.000], [2.168, 3.754, 0.000], [2.168, 1.251, 3.540]],
  "species": ["Os", "Mg", "Li", "V"],
  "frac_coords": [[0.000, 0.000, 0.000], [0.250, 0.250, 0.250], [0.500, 0.500, 0.500], [0.750, 0.750, 0.750]]
}

***

{
  "formula": "LuScRu2",
  "functional": "PBE",
  "state": "relaxed",
  "energy_ev_per_cell": -31.39,
  "total_magnetization_mub_per_cell": 0.00,
  "volume_a3_per_atom": 17.486,
  "de_polymorph_mev_per_atom": 1,
  "delta_e_f_ev_per_atom": -0.496,
  "lattice": [[4.625, 0.000, 0.000], [2.312, 4.005, 0.000], [2.312, 1.335, 3.776]],
  "species": ["Sc", "Ru", "Ru", "Lu"],
  "frac_coords": [[0.000, 0.000, 0.000], [0.250, 0.250, 0.250], [0.750, 0.750, 0.750], [0.500, 0.500, 0.500]]
}

***

{
  "formula": "CaCd2GaPd4",
  "functional": "PBE",
  "state": "relaxed",
  "energy_ev_per_cell": -31.85,
  "total_magnetization_mub_per_cell": 0.00,
  "volume_a3_per_atom": 17.880,
  "delta_e_f_ev_per_atom": -0.527,
  "lattice": [[-0.982, -4.557, 0.163], [2.889, -3.081, -1.979], [4.471, -3.139, 5.920]],
  "species": ["Pd", "Pd", "Pd", "Pd", "Ga", "Ca", "Cd", "Cd"],
  "frac_coords": [[0.390, 0.390, 0.831], [0.132, 0.132, 0.605], [0.868, 0.868, 0.395], [0.610, 0.610, 0.169], [0.500, 0.500, 0.500], [0.000, 0.000, 0.000], [0.746, 0.746, 0.761], [0.254, 0.254, 0.239]]
}

***

{
  "formula": "HfMnSN2",
  "functional": "PBE",
  "state": "relaxed",
  "energy_ev_per_cell": -39.66,
  "raw_formation_energy_ev_per_atom": 0.0488,
  "total_magnetization_mub_per_cell": 0.00,
  "volume_a3_per_atom": 12.222,
  "de_polymorph_mev_per_atom": 0,
  "lattice": [[3.678, 0.000, 0.000], [0.000, 3.678, 0.000], [0.000, 0.000, 4.518]],
  "species": ["N", "N", "Mn", "S", "Hf"],
  "frac_coords": [[0.000, 0.500, 0.000], [0.500, 0.000, 0.000], [0.000, 0.000, 0.000], [0.000, 0.000, 0.500], [0.500, 0.500, 0.500]]
}

***

{
  "formula": "K4ZrPa3O12",
  "functional": "PBE",
  "state": "relaxed",
  "energy_ev_per_cell": -159.87,
  "raw_formation_energy_ev_per_atom": -2.9472,
  "total_magnetization_mub_per_cell": 0.00,
  "volume_a3_per_atom": 16.395,
  "lattice": [[-1.338, 5.063, -5.402], [-5.275, 0.572, 5.335], [6.771, 1.284, 3.019]],
  "species": ["O", "O", "O", "O", "O", "O", "O", "O", "O", "O", "O", "O", "Pa", "Pa", "Pa", "K", "K", "K", "K", "Zr"],
  "frac_coords": [[0.248, 0.248, 0.000], [0.248, 0.000, 0.248], [0.500, 0.750, 0.250], [0.752, 0.752, 0.000], [0.250, 0.750, 0.500], [0.500, 0.250, 0.750], [0.000, 0.752, 0.752], [0.250, 0.500, 0.750], [0.750, 0.250, 0.500], [0.000, 0.248, 0.248], [0.752, 0.000, 0.752], [0.750, 0.500, 0.250], [0.500, 0.500, 0.000], [0.500, 0.000, 0.500], [0.000, 0.500, 0.500], [0.000, 0.500, 0.000], [0.000, 0.000, 0.500], [0.500, 0.500, 0.500], [0.500, 0.000, 0.000], [0.000, 0.000, 0.000]]
}

***

{
  "formula": "TcAu2Br",
  "functional": "PBE",
  "state": "relaxed",
  "energy_ev_per_cell": -15.56,
  "raw_formation_energy_ev_per_atom": 0.7595,
  "total_magnetization_mub_per_cell": 3.59,
  "volume_a3_per_atom": 19.489,
  "de_polymorph_mev_per_atom": 417,
  "lattice": [[-2.927, 2.770, 2.611], [-3.554, -0.779, -3.135], [2.255, -3.697, 2.039]],
  "species": ["Au", "Au", "Tc", "Br"],
  "frac_coords": [[0.000, 0.000, 0.000], [0.250, 0.750, 0.500], [0.750, 0.250, 0.500], [0.500, 0.500, 0.000]]
}

***

{
  "formula": "BaZnSnO4",
  "functional": "PBE",
  "state": "relaxed",
  "energy_ev_per_cell": -78.79,
  "raw_formation_energy_ev_per_atom": -1.7661,
  "total_magnetization_mub_per_cell": 0.00,
  "volume_a3_per_atom": 15.856,
  "lattice": [[-3.168, 3.916, -4.406], [-3.703, -3.428, 4.699], [3.575, 5.125, 1.983]],
  "species": ["O", "O", "O", "O", "O", "O", "O", "O", "Sn", "Sn", "Zn", "Zn", "Ba", "Ba"],
  "frac_coords": [[0.708, 0.415, 0.251], [0.289, 0.986, 0.743], [0.698, 0.986, 0.743], [0.302, 0.014, 0.257], [0.708, 0.415, 0.665], [0.711, 0.014, 0.257], [0.292, 0.585, 0.335], [0.292, 0.585, 0.749], [0.500, 0.000, 0.500], [0.500, 0.000, 0.000], [0.000, 0.500, 0.500], [0.500, 0.500, 0.500], [0.140, 0.280, 0.890], [0.860, 0.720, 0.110]]
}

***

{
  "formula": "Sc2CdSe",
  "functional": "PBE",
  "state": "relaxed",
  "energy_ev_per_cell": -20.56,
  "raw_formation_energy_ev_per_atom": -0.8744,
  "total_magnetization_mub_per_cell": 0.00,
  "volume_a3_per_atom": 22.380,
  "de_polymorph_mev_per_atom": 0,
  "lattice": [[-2.967, -2.140, -0.482], [0.414, -3.540, -0.958], [-0.630, -3.851, 6.851]],
  "species": ["Sc", "Sc", "Cd", "Se"],
  "frac_coords": [[0.012, 0.012, 0.965], [0.488, 0.488, 0.535], [0.250, 0.250, 0.250], [0.750, 0.750, 0.750]]
}

***

{
  "formula": "K2S5",
  "functional": "PBE",
  "state": "relaxed",
  "energy_ev_per_cell": -107.86,
  "raw_formation_energy_ev_per_atom": -0.5905,
  "total_magnetization_mub_per_cell": 0.00,
  "volume_a3_per_atom": 29.129,
  "lattice": [[-6.084, -1.996, -1.501], [-0.271, -3.422, 5.651], [-7.081, 15.006, 8.748]],
  "species": ["S", "S", "S", "S", "S", "S", "S", "S", "S", "S", "S", "S", "S", "S", "S", "S", "S", "S", "S", "S", "K", "K", "K", "K", "K", "K", "K", "K"],
  "frac_coords": [[0.432, 0.801, 0.099], [0.068, 0.199, 0.599], [0.953, 0.689, 0.564], [0.547, 0.311, 0.064], [0.667, 0.677, 0.612], [0.167, 0.823, 0.388], [0.648, 0.004, 0.381], [0.834, 0.161, 0.206], [0.148, 0.496, 0.619], [0.852, 0.996, 0.881], [0.833, 0.323, 0.112], [0.334, 0.339, 0.794], [0.047, 0.189, 0.936], [0.666, 0.839, 0.706], [0.333, 0.177, 0.888], [0.932, 0.699, 0.901], [0.166, 0.661, 0.294], [0.568, 0.301, 0.401], [0.352, 0.504, 0.119], [0.453, 0.811, 0.436], [0.675, 0.606, 0.260], [0.937, 0.845, 0.071], [0.825, 0.394, 0.760], [0.563, 0.155, 0.571], [0.325, 0.106, 0.240], [0.175, 0.894, 0.740], [0.063, 0.345, 0.429], [0.437, 0.655, 0.929]]
}

***

{
  "formula": "ZnSbOs2",
  "functional": "PBE",
  "state": "relaxed",
  "energy_ev_per_cell": -25.94,
  "raw_formation_energy_ev_per_atom": 0.4777,
  "total_magnetization_mub_per_cell": 0.00,
  "volume_a3_per_atom": 16.135,
  "de_polymorph_mev_per_atom": 137,
  "lattice": [[4.525, -0.001, -0.004], [3.519, 2.845, -0.004], [0.956, 0.338, 5.010]],
  "species": ["Os", "Os", "Zn", "Sb"],
  "frac_coords": [[0.001, 0.001, 0.027], [0.499, 0.499, 0.473], [0.250, 0.250, 0.250], [0.750, 0.750, 0.750]]
}

***

{
  "formula": "MnCo",
  "functional": "PBE",
  "state": "relaxed",
  "energy_ev_per_cell": -32.20,
  "total_magnetization_mub_per_cell": 0.58,
  "volume_a3_per_atom": 10.616,
  "delta_e_f_ev_per_atom": 0.087,
  "lattice": [[2.445, 0.000, 0.000], [0.000, 2.445, 0.000], [0.000, 0.000, 7.104]],
  "species": ["Mn", "Mn", "Co", "Co"],
  "frac_coords": [[0.250, 0.250, 0.633], [0.750, 0.750, 0.367], [0.750, 0.750, 0.873], [0.250, 0.250, 0.127]]
}

***

{
  "formula": "HgRhW2",
  "functional": "PBE",
  "state": "relaxed",
  "energy_ev_per_cell": -32.09,
  "total_magnetization_mub_per_cell": 0.00,
  "volume_a3_per_atom": 16.490,
  "delta_e_f_ev_per_atom": 0.368,
  "lattice": [[2.803, 0.000, 0.000], [0.000, 2.803, 0.000], [0.000, 0.000, 8.395]],
  "species": ["W", "W", "Hg", "Rh"],
  "frac_coords": [[0.000, 0.000, 0.270], [0.000, 0.000, 0.730], [0.500, 0.500, 0.000], [0.500, 0.500, 0.500]]
}

***

{
  "formula": "Sm2YEr3",
  "functional": "PBE",
  "state": "relaxed",
  "energy_ev_per_cell": -57.77,
  "total_magnetization_mub_per_cell": 0.00,
  "volume_a3_per_atom": 32.490,
  "de_polymorph_mev_per_atom": 0,
  "delta_e_f_ev_per_atom": 0.118,
  "lattice": [[3.498, 0.000, 0.000], [1.749, 8.878, 0.160], [1.749, 2.160, 12.595]],
  "species": ["Er", "Er", "Er", "Er", "Er", "Er", "Sm", "Sm", "Sm", "Sm", "Y", "Y"],
  "frac_coords": [[0.039, 0.132, 0.790], [0.598, 0.829, 0.974], [0.961, 0.868, 0.210], [0.263, 0.184, 0.291], [0.737, 0.816, 0.709], [0.402, 0.171, 0.026], [0.657, 0.155, 0.531], [0.343, 0.845, 0.469], [0.820, 0.478, 0.883], [0.180, 0.522, 0.117], [0.437, 0.482, 0.643], [0.563, 0.518, 0.357]]
}

***

{
  "formula": "SmTeO4",
  "functional": "PBE",
  "state": "relaxed",
  "energy_ev_per_cell": -78.89,
  "raw_formation_energy_ev_per_atom": -1.9583,
  "total_magnetization_mub_per_cell": 0.00,
  "volume_a3_per_atom": 13.885,
  "de_polymorph_mev_per_atom": 0,
  "lattice": [[5.610, 0.000, -0.384], [0.000, 5.420, 0.000], [-0.471, 0.000, 5.512]],
  "species": ["Te", "Te", "O", "O", "O", "O", "O", "O", "O", "O", "Sm", "Sm"],
  "frac_coords": [[0.000, 0.500, 0.500], [0.500, 0.000, 0.500], [0.262, 0.289, 0.345], [0.738, 0.711, 0.655], [0.373, 0.839, 0.184], [0.873, 0.661, 0.184], [0.238, 0.789, 0.655], [0.627, 0.161, 0.816], [0.762, 0.211, 0.345], [0.127, 0.339, 0.816], [0.000, 0.000, 0.000], [0.500, 0.500, 0.000]]
}

***

{
  "formula": "MoIBr2",
  "functional": "PBE",
  "state": "relaxed",
  "energy_ev_per_cell": -15.68,
  "raw_formation_energy_ev_per_atom": 0.0117,
  "total_magnetization_mub_per_cell": 0.36,
  "volume_a3_per_atom": 29.358,
  "de_polymorph_mev_per_atom": 0,
  "lattice": [[1.964, 0.000, 11.713], [-0.982, 1.701, 11.713], [-0.982, -1.701, 11.713]],
  "species": ["I", "Mo", "Br", "Br"],
  "frac_coords": [[0.000, 0.000, 0.000], [0.500, 0.500, 0.500], [0.117, 0.117, 0.117], [0.883, 0.883, 0.883]]
}

***

{
  "formula": "Na2BeAs2Au",
  "functional": "PBE",
  "state": "relaxed",
  "energy_ev_per_cell": -41.34,
  "total_magnetization_mub_per_cell": 0.00,
  "volume_a3_per_atom": 19.611,
  "delta_e_f_ev_per_atom": -0.288,
  "lattice": [[5.793, 0.000, 0.000], [0.000, 5.686, 0.000], [-2.897, -2.843, 7.144]],
  "species": ["As", "As", "As", "As", "Au", "Au", "Na", "Na", "Na", "Na", "Be", "Be"],
  "frac_coords": [[0.412, 0.607, 0.215], [0.588, 0.393, 0.785], [0.197, 0.893, 0.785], [0.803, 0.107, 0.215], [0.000, 0.250, 0.000], [0.000, 0.750, 0.000], [0.970, 0.676, 0.352], [0.619, 0.824, 0.648], [0.381, 0.176, 0.352], [0.030, 0.324, 0.648], [0.500, 0.750, 0.000], [0.500, 0.250, 0.000]]
}

***

{
  "formula": "Pr3Te2Pt",
  "functional": "PBE",
  "state": "relaxed",
  "energy_ev_per_cell": -34.44,
  "raw_formation_energy_ev_per_atom": -1.2966,
  "total_magnetization_mub_per_cell": 0.00,
  "volume_a3_per_atom": 31.491,
  "de_polymorph_mev_per_atom": 0,
  "lattice": [[-4.180, -0.219, 0.964], [-1.004, -3.647, -5.181], [3.750, -3.698, 5.847]],
  "species": ["Te", "Te", "Pr", "Pr", "Pr", "Pt"],
  "frac_coords": [[0.324, 0.824, 0.648], [0.676, 0.176, 0.352], [0.358, 0.358, 0.716], [0.000, 0.000, 0.000], [0.642, 0.642, 0.284], [0.000, 0.500, 0.000]]
}

***

{
  "formula": "MgPd4Au3",
  "functional": "PBE",
  "state": "relaxed",
  "energy_ev_per_cell": -34.68,
  "total_magnetization_mub_per_cell": 0.00,
  "volume_a3_per_atom": 16.443,
  "de_polymorph_mev_per_atom": 0,
  "delta_e_f_ev_per_atom": -0.310,
  "lattice": [[-1.214, -3.813, 0.783], [-0.020, -0.814, -3.995], [8.172, 0.003, 2.043]],
  "species": ["Au", "Au", "Au", "Pd", "Pd", "Pd", "Pd", "Mg"],
  "frac_coords": [[0.249, 0.749, 0.498], [0.000, 0.500, 0.000], [0.751, 0.251, 0.502], [0.877, 0.877, 0.755], [0.623, 0.623, 0.245], [0.123, 0.123, 0.245], [0.377, 0.377, 0.755], [0.500, 0.000, 0.000]]
}

***

{
  "formula": "Zn2HgW",
  "functional": "PBE",
  "state": "relaxed",
  "energy_ev_per_cell": -14.11,
  "total_magnetization_mub_per_cell": 0.00,
  "volume_a3_per_atom": 16.864,
  "delta_e_f_ev_per_atom": 0.422,
  "lattice": [[-1.554, 1.054, -2.193], [1.299, -2.881, -2.306], [-4.626, -3.402, 1.643]],
  "species": ["Zn", "Zn", "W", "Hg"],
  "frac_coords": [[0.000, 0.000, 0.533], [0.000, 0.000, 0.967], [0.500, 0.500, 0.750], [0.500, 0.500, 0.250]]
}

***

{
  "formula": "TaZnIn2Co",
  "functional": "PBE",
  "state": "relaxed",
  "energy_ev_per_cell": -23.09,
  "total_magnetization_mub_per_cell": 0.00,
  "volume_a3_per_atom": 21.528,
  "delta_e_f_ev_per_atom": 0.525,
  "lattice": [[4.834, 0.000, 0.000], [0.000, 4.607, 0.000], [0.000, 0.000, 4.834]],
  "species": ["Co", "Ta", "In", "In", "Zn"],
  "frac_coords": [[0.000, 0.000, 0.000], [0.000, 0.500, 0.000], [0.500, 0.000, 0.000], [0.000, 0.000, 0.500], [0.500, 0.500, 0.500]]
}